Entry 1:
Here is an optimized crystal structure of Er3Pd2Rh from the Alexandria database. Energies are from PBE-GGA.

```
Er3Pd2Rh
1.0
-2.9967 1.5348 -0.5767
-0.5746 -2.1085 -2.6253
-4.7381 -6.8074 6.5043
Pd Er Rh
2 3 1
direct
0.5000 0.5000 0.1673
0.5000 0.5000 0.8327
0.0000 0.0000 0.6591
0.0000 0.0000 0.3409
0.0000 0.0000 0.0000
0.5000 0.5000 0.5000
```

Values from the calculation:
As for the formation enthalpy at 0 K: -0.935 eV/atom. The value obtained for the mass density is 11.0 g/cm3.

***

Entry 2:
Here is an optimized crystal structure of AlBiTeN2 from the Alexandria database. Energies are from PBE-GGA.

```
AlBiTeN2
1.0
4.2630 0.0000 0.0000
0.0000 4.2630 0.0000
0.0000 0.0000 6.7249
Al Bi Te N
1 1 1 2
direct
0.5000 0.5000 0.5000
0.0000 0.0000 0.0000
0.0000 0.0000 0.5000
0.5000 0.0000 0.0000
0.0000 0.5000 0.0000
```

Values from the calculation:
The value obtained for the raw formation energy is 1.476 eV per atom. The polymorph energy (0 for the lowest one) is 257 kJ/mol of formula units. The value obtained for the mass density is 5.3 g/cm3.

***

Entry 3:
Here is an optimized crystal structure of BePbBr2 from the Alexandria database. Energies are from PBE-GGA.

```
BePbBr2
1.0
5.3258 0.0000 0.0000
2.6629 4.6123 0.0000
2.6629 1.5374 4.3485
Br Pb Be
2 1 1
direct
0.0000 0.0000 0.0000
0.7500 0.7500 0.7500
0.2500 0.2500 0.2500
0.5000 0.5000 0.5000
```

Values from the calculation:
The value obtained for the raw formation energy is 0.392 eV per atom. The polymorph energy (0 for the lowest one) is 316 kJ/mol of formula units. The value obtained for the mass density is 5.8 g/cm3.

***

Entry 4:
Here is an optimized crystal structure of Tl2SbMo from the Alexandria database. Energies are from PBE-GGA.

```
Tl2SbMo
1.0
10.6700 -0.0568 -0.0333
10.1979 3.1391 -0.0333
10.1979 1.5063 2.7543
Tl Mo Sb
2 1 1
direct
0.9917 0.9917 0.9917
0.5083 0.5083 0.5083
0.2500 0.2500 0.2500
0.7500 0.7500 0.7500
```

Values from the calculation:
The value obtained for the raw formation energy is 0.700 eV per atom. The polymorph energy (0 for the lowest one) is 151 kJ/mol of formula units. The value obtained for the mass density is 11.0 g/cm3.